A relaxed HfSb2AuCl crystal, computed with GGA-PBE.

Values from the calculation:
Formation energy from raw total energies   42 meV/atom
Crystal system   tetragonal
M_tot   0.00 Bohr magnetons per cell

a = 5.580 Å, b = 5.580 Å, c = 4.783 Å
α = 90.00°, β = 90.00°, γ = 90.00°
Space group P4/mmm (No. 123)
One atom of each set of equivalent atoms:
1 Hf 0.000 0.000 0.000
2 Sb 0.000 0.500 0.000
3 Au 0.500 0.500 0.500
4 Cl 0.000 0.000 0.500